PBE TmCrGe, optimized geometry; E_form = 0.0815 eV per atom; symmetry = No. 69; D(E_F) = 1.317 states/eV per atom; M_tot = 0.00 μB per formula unit
1.0
-1.295 -3.521 -0.935
3.638 -1.094 -0.717
-0.390 0.056 8.218
Cr Ge Tm
2 2 2
Cartesian
1.409 -3.131 2.977
0.544 -1.428 3.588
1.958 -4.039 0.657
-0.005 -0.520 5.909
1.258 -3.091 5.949
0.695 -1.468 0.616

***

PBE UCrGe2, optimized geometry; E_form = 0.1017 eV per atom; symmetry = No. 166; D(E_F) = 1.371 states/eV per atom; M_tot = 4.03 μB per formula unit
1.0
-2.154 1.849 -0.861
-1.904 -0.826 -2.120
-6.858 -3.139 5.304
Cr Ge U
1 2 1
Cartesian
0.000 0.000 0.000
-2.540 -0.410 0.365
-8.375 -1.706 1.958
-5.458 -1.058 1.161

***

PBE UCr2Ge, optimized geometry; E_form = 0.1117 eV per atom; symmetry = No. 225; D(E_F) = 0.763 states/eV per atom; M_tot = 1.68 μB per formula unit
1.0
4.416 0.000 0.000
2.208 3.824 0.000
2.208 1.275 3.606
Cr U Ge
2 1 1
Cartesian
6.624 3.824 2.704
2.208 1.275 0.901
0.000 0.000 0.000
4.416 2.550 1.803

***

PBE UCrGe2, optimized geometry; E_form = 0.0501 eV per atom; symmetry = No. 123; D(E_F) = 1.282 states/eV per atom; M_tot = 4.93 μB per formula unit
1.0
3.017 0.000 0.000
0.000 3.017 0.000
0.000 0.000 7.586
Ge Cr U
2 1 1
Cartesian
0.000 0.000 1.591
0.000 0.000 5.995
1.508 1.508 0.000
1.508 1.508 3.793

***

PBE UCrGe, optimized geometry; E_form = -0.1097 eV per atom; symmetry = No. 63; D(E_F) = 1.627 states/eV per atom; M_tot = 0.23 μB per formula unit
1.0
-1.840 3.465 1.013
-2.939 -0.697 -2.952
-2.369 -4.640 3.454
Ge Cr U
2 2 2
Cartesian
-3.614 -2.047 1.103
-3.395 -0.906 -2.405
-5.365 -1.048 2.611
-5.853 -3.080 0.555
-5.671 -0.369 -0.266
-3.178 0.881 -0.022

***

PBE UCrGe, optimized geometry; E_form = 0.2670 eV per atom; symmetry = No. 156; D(E_F) = 1.005 states/eV per atom; M_tot = 0.00 μB per formula unit
1.0
-0.382 3.792 -1.520
1.284 -1.247 -3.433
-3.790 -0.065 0.789
U Ge Cr
1 1 1
Cartesian
-2.194 0.485 -0.997
-0.684 1.900 -3.129
-0.010 0.095 -0.038

***

PBE UCr2Ge, optimized geometry; E_form = 0.0118 eV per atom; symmetry = No. 123; D(E_F) = 1.232 states/eV per atom; M_tot = 1.20 μB per formula unit
1.0
-2.454 0.465 -2.258
-2.880 -0.787 2.969
-0.118 4.095 0.971
Ge Cr U
1 2 1
Cartesian
-2.726 1.887 0.841
-1.440 -0.393 1.484
-0.059 2.048 0.486
-1.227 0.233 -1.129

***

PBE V8Cr2Ge, optimized geometry; E_form = 0.4687 eV per atom; symmetry = No. 12; D(E_F) = 1.190 states/eV per atom; M_tot = 0.00 μB per formula unit
1.0
-2.987 -2.506 -2.651
4.233 -2.840 -2.966
-0.383 -4.496 3.798
V Cr Ge
8 2 1
Cartesian
-1.639 -4.497 -2.219
-1.996 -4.736 0.121
2.860 -5.106 -1.940
0.275 -5.940 -1.266
2.503 -5.346 0.399
0.496 -5.954 1.524
0.589 -3.902 -0.554
0.367 -3.888 -3.343
1.854 -7.537 -0.580
-0.990 -2.306 -1.240
0.000 0.000 0.000

***

PBE V8Cr3Ge2, optimized geometry; E_form = 0.2014 eV per atom; symmetry = No. 12; D(E_F) = 0.812 states/eV per atom; M_tot = 0.00 μB per formula unit
1.0
-0.693 3.947 1.490
-4.360 -2.946 5.773
6.948 0.474 0.204
V Ge Cr
8 2 3
Cartesian
-1.729 2.011 5.005
2.354 0.592 4.460
3.624 -0.536 2.463
-2.423 -0.443 5.609
4.318 1.919 1.859
0.742 1.716 6.720
-0.459 0.884 3.008
1.153 -0.241 0.748
1.871 1.639 2.249
0.024 -0.164 5.219
-1.092 -0.738 1.447
-0.346 1.973 0.745
-3.268 -2.208 4.327

***

PBE V12CrGe3, optimized geometry; E_form = -0.2684 eV per atom; symmetry = No. 47; D(E_F) = 1.208 states/eV per atom; M_tot = 0.00 μB per formula unit
1.0
4.741 0.000 0.000
0.000 4.753 0.000
0.000 0.000 9.473
V Ge Cr
12 3 1
Cartesian
0.000 3.594 7.052
3.553 2.376 0.000
1.155 2.376 4.736
2.371 0.000 5.863
2.371 0.000 8.259
0.000 1.159 7.052
3.586 2.376 4.736
2.371 0.000 3.610
1.188 2.376 0.000
0.000 3.594 2.421
2.371 0.000 1.213
0.000 1.159 2.421
2.371 2.376 2.367
2.371 2.376 7.106
0.000 0.000 0.000
0.000 0.000 4.736

***

PBE V5Cr2Ge4, optimized geometry; E_form = 0.4170 eV per atom; symmetry = No. 71; D(E_F) = 1.107 states/eV per atom; M_tot = 0.00 μB per formula unit
1.0
-1.067 2.438 0.965
-6.830 -1.897 -2.759
2.097 -3.875 7.960
Ge V Cr
4 5 2
Cartesian
-4.805 -1.397 2.370
-2.105 -0.585 -0.851
-0.995 -1.937 3.796
-4.725 -1.313 -1.909
-0.534 1.219 0.482
-5.604 -2.534 0.206
-0.196 -0.800 5.959
-3.404 -1.691 4.663
-2.397 -1.643 1.502
-5.360 -2.475 4.483
-0.441 -0.858 1.682

***

PBE V5Cr2Ge, optimized geometry; E_form = 0.1110 eV per atom; symmetry = No. 140; D(E_F) = 1.124 states/eV per atom; M_tot = 0.00 μB per formula unit
1.0
-2.825 1.802 4.939
-4.500 -3.728 -1.213
6.460 -3.460 1.351
V Cr Ge
10 4 2
Cartesian
-0.830 -1.339 2.456
-0.034 -4.047 2.621
-4.789 -3.282 3.228
-3.040 -1.099 4.710
-3.662 -0.963 1.863
0.000 0.000 0.000
-2.579 -3.522 0.974
2.176 -4.287 0.367
3.925 -2.104 1.849
1.715 -1.864 4.103
-1.990 -1.007 0.347
-5.334 -0.920 3.378
-2.548 0.602 3.047
-4.776 -2.529 0.678
1.399 -2.212 1.607
-2.263 -3.175 3.470

***

PBE VCrGe, optimized geometry; E_form = -0.0306 eV per atom; symmetry = No. 156; D(E_F) = 0.793 states/eV per atom; M_tot = 0.00 μB per formula unit
1.0
2.654 0.000 0.000
0.000 4.131 0.000
0.000 -2.066 3.578
Cr Ge V
1 1 1
Cartesian
0.857 2.066 1.193
1.671 0.000 2.385
0.126 0.000 0.000

***

PBE V2CrGe2, optimized geometry; E_form = -0.1772 eV per atom; symmetry = No. 36; D(E_F) = 0.604 states/eV per atom; M_tot = 0.00 μB per formula unit
1.0
-3.922 -1.049 -0.839
0.741 -4.504 2.166
0.040 3.025 6.276
V Ge Cr
4 4 2
Cartesian
-0.003 -2.996 3.757
-2.994 -0.409 4.267
0.150 -1.309 0.934
-3.196 -1.800 6.949
-0.547 -0.530 3.220
-2.445 -2.906 4.819
-1.277 -0.262 6.297
-2.170 -0.406 0.412
-1.345 1.475 4.446
-2.051 -2.454 2.412

***

PBE V6Cr2Ge, optimized geometry; E_form = 0.1734 eV per atom; symmetry = No. 71; D(E_F) = 1.352 states/eV per atom; M_tot = 0.00 μB per formula unit
1.0
-5.919 -2.142 2.736
5.200 -3.252 3.081
1.062 6.719 0.909
Cr V Ge
4 12 2
Cartesian
0.657 -2.134 3.556
-0.314 3.460 3.169
-3.183 3.000 2.389
-1.674 1.577 1.256
-1.475 -2.923 4.855
-3.310 -2.210 2.996
-1.173 -0.654 2.409
1.516 1.979 4.317
1.809 -0.315 2.806
-0.244 -0.512 4.949
1.818 4.248 1.870
0.587 1.838 1.777
4.074 0.939 4.249
-1.466 1.641 3.919
3.653 3.535 3.730
-3.731 0.386 2.476
3.131 1.734 1.995
0.000 0.000 0.000

***

PBE V4CrGe4, optimized geometry; E_form = -0.0638 eV per atom; symmetry = No. 139; D(E_F) = 0.777 states/eV per atom; M_tot = 0.41 μB per formula unit
1.0
-2.516 -2.076 1.484
2.731 -5.586 1.145
0.392 0.897 6.247
Ge V Cr
4 4 1
Cartesian
-0.839 -2.853 3.241
1.446 -3.912 5.634
1.087 -1.031 4.729
-0.481 -5.734 4.146
-0.708 -0.393 2.578
1.314 -6.373 6.297
0.464 -1.658 7.123
0.142 -5.107 1.752
0.000 0.000 0.000

***

PBE V12CrGe7, optimized geometry; E_form = 0.0700 eV per atom; symmetry = No. 148; D(E_F) = 0.896 states/eV per atom; M_tot = 0.00 μB per formula unit
1.0
0.774 1.386 6.478
4.987 -4.428 0.058
4.051 4.968 -1.840
Cr V Ge
1 12 7
Cartesian
0.000 0.000 0.000
4.870 0.827 4.785
4.001 -1.249 2.843
7.476 1.408 0.139
6.012 -1.533 4.404
5.812 3.176 1.853
3.164 2.527 3.041
4.795 -1.831 0.383
5.017 3.758 4.313
6.648 -0.601 1.655
3.801 3.459 0.292
4.943 1.099 -0.089
2.337 0.518 4.557
4.906 0.963 2.348
7.726 3.358 3.625
1.011 1.310 2.193
8.801 0.616 2.502
7.424 0.728 5.335
2.087 -1.431 1.071
2.389 1.198 -0.639

***

PBE V5CrGe5, optimized geometry; E_form = 0.1632 eV per atom; symmetry = No. 12; D(E_F) = 0.742 states/eV per atom; M_tot = 0.00 μB per formula unit
1.0
-1.411 -2.874 -3.450
0.776 -3.002 5.393
-5.958 2.737 0.156
V Ge Cr
5 5 1
Cartesian
-1.644 -2.780 2.988
-2.937 -1.635 -0.647
-2.979 1.369 0.078
-3.655 -1.503 2.746
-4.948 -0.358 -0.889
-0.705 -1.437 -1.725
-1.331 -3.881 0.566
-5.261 0.743 1.532
-1.771 -0.755 1.353
-4.821 -2.383 0.745
0.000 0.000 0.000

***

PBE V8CrGe5, optimized geometry; E_form = -0.0995 eV per atom; symmetry = No. 82; D(E_F) = 0.815 states/eV per atom; M_tot = 0.00 μB per formula unit
1.0
-3.693 5.187 -0.509
-0.404 -2.452 5.885
6.006 1.768 -1.268
V Ge Cr
8 5 1
Cartesian
1.296 1.682 0.894
-0.629 1.468 2.967
0.560 5.931 -0.688
2.821 3.888 0.924
2.378 -0.348 3.696
-0.752 3.999 0.630
2.596 2.321 3.839
-0.633 -0.928 4.172
0.591 -0.621 1.917
4.644 3.272 -0.731
0.801 3.570 2.589
-2.217 2.786 4.442
1.157 3.478 -0.888
3.379 1.397 1.865

***

PBE VCr2Ge2, optimized geometry; E_form = 0.0629 eV per atom; symmetry = No. 127; D(E_F) = 1.022 states/eV per atom; M_tot = 2.24 μB per formula unit
1.0
-5.889 -0.845 -3.149
3.255 -1.905 -5.575
-0.086 -2.882 0.934
Ge Cr V
4 4 2
Cartesian
-3.328 -0.822 -2.845
-2.930 -1.951 -6.290
0.296 -0.798 -2.435
0.694 -1.927 -5.880
-1.119 -3.607 -6.315
-1.601 -2.024 -1.475
-3.905 -2.821 -4.147
1.185 -2.810 -3.644
-1.317 -1.375 -4.362
0.000 0.000 0.000

***

PBE VCrGe3, optimized geometry; E_form = 0.5677 eV per atom; symmetry = No. 221; D(E_F) = 0.895 states/eV per atom; M_tot = 5.28 μB per formula unit
1.0
4.726 0.000 0.000
0.000 4.726 0.000
0.000 0.000 4.726
Ge V Cr
3 1 1
Cartesian
2.363 0.000 0.000
0.000 0.000 2.363
0.000 2.363 0.000
0.000 0.000 0.000
2.363 2.363 2.363

***

PBE V6Cr5Ge, optimized geometry; E_form = -0.1298 eV per atom; symmetry = No. 71; D(E_F) = 0.853 states/eV per atom; M_tot = 0.00 μB per formula unit
1.0
3.970 0.017 -1.158
-0.807 5.165 -2.689
-0.064 0.377 7.168
Ge Cr V
1 5 6
Cartesian
0.000 0.000 0.000
1.005 1.965 3.472
2.474 0.965 1.112
0.625 4.593 2.209
-0.403 2.582 -1.345
2.094 3.594 -0.152
1.772 1.371 -1.289
2.788 3.232 2.220
3.184 0.700 3.538
0.311 2.327 1.101
-0.084 4.859 -0.218
1.391 3.811 -2.559

***

PBE V2CrGe2, optimized geometry; E_form = -0.0991 eV per atom; symmetry = No. 127; D(E_F) = 1.021 states/eV per atom; M_tot = 1.93 μB per formula unit
1.0
6.471 0.000 0.000
0.000 6.471 0.000
0.000 0.000 3.381
Ge Cr V
4 2 4
Cartesian
4.126 0.890 0.000
2.345 5.581 0.000
5.581 4.126 0.000
0.890 2.345 0.000
0.000 0.000 0.000
3.236 3.236 0.000
4.307 5.400 1.691
5.400 2.164 1.691
2.164 1.072 1.691
1.072 4.307 1.691